{"formula": "PrGd2Y", "functional": "PBE", "state": "optimized geometry", "lattice_angstrom": [[3.615, 0.000, 0.000], [1.807, 3.130, 0.000], [1.807, 1.043, 11.810]], "species": ["Gd", "Gd", "Y", "Pr"], "fractional_positions": [[0.251, 0.251, 0.247], [0.749, 0.749, 0.753], [0.000, 0.000, 0.000], [0.500, 0.500, 0.500]], "ef_mev_per_atom": 24, "polymorph_energy_mev_per_atom": 3.6, "total_energy_ev_per_atom": -9.8270}